Here is a relaxed structure of Si2NiHO6 from the Alexandria database. Energies are from GGA+U.

Calculated values
Theoretical density = 2.7 g cm⁻³
Electronic total energy = -131.09 eV/cell

The structure in POSCAR format:
```
Si2NiHO6
1.0
4.964 -5.581 0.000
4.964 5.581 0.000
-1.657 0.000 4.752
Si Ni H O
4 2 2 12
Cartesian
1.932 0.920 0.740
1.104 -0.920 3.116
7.167 0.920 1.636
6.338 -0.920 4.012
4.550 2.772 1.188
3.721 -2.772 3.564
3.721 3.819 3.564
4.550 -3.819 1.188
2.787 3.856 4.341
2.993 1.918 1.450
0.818 0.375 4.056
4.655 3.856 2.786
1.647 -0.375 1.681
6.107 1.918 0.925
2.164 -1.918 3.826
6.624 0.375 3.071
3.616 -3.856 1.965
7.453 -0.375 0.695
5.278 -1.918 3.301
5.483 -3.856 0.410
```